[1]
An optimized crystal structure of LaMnVP2. Source: Alexandria via LeMat-Bulk, functional PBE.

Cell: 3.8139 3.8139 6.5882 Å, 106.83 106.83 90.00°
Last column: nearest neighbours and their distance in Å.
Fractional coordinates of all 5 atoms:
P 0.6339 0.6339 0.2677  2 V 2.36, 2 Mn 2.36
P 0.3661 0.3661 0.7323  2 Mn 2.36, 2 V 2.36
La 0.0000 0.0000 0.0000  8 P 3.14
Mn 0.7500 0.2500 0.5000  4 P 2.36
V 0.2500 0.7500 0.5000  4 P 2.36

## Properties
- Energy of formation: -4.8 eV per formula unit
- Space group: I-4m2, No. 119
- Final energy: -7.757 eV per atom
- Spin magnetization: 1.30 μB/cell



[2]
An optimized crystal structure of LaPaMn4. Source: Alexandria via LeMat-Bulk, functional PBE.

Cell: 5.1907 5.1907 5.1907 Å, 60.00 60.00 60.00°
Last column: nearest neighbours and their distance in Å.
Fractional coordinates of all 6 atoms:
Pa 0.2500 0.2500 0.2500  12 Mn 3.04, 4 La 3.18
Mn 0.1293 0.6236 0.6236  6 Mn 2.57-2.62
Mn 0.6236 0.6236 0.1293  6 Mn 2.57-2.62
Mn 0.6236 0.6236 0.6236  6 Mn 2.57-2.62
La 0.0000 0.0000 0.0000  12 Mn 3.05, 4 Pa 3.18
Mn 0.6236 0.1293 0.6236  6 Mn 2.57-2.62

## Properties
- Energy of formation: 0.8 eV per formula unit
- Space group: F-43m, No. 216
- Final energy: -8.380 eV per atom
- Spin magnetization: 6.56 μB/cell



[3]
An optimized crystal structure of LaPa2Mn. Source: Alexandria via LeMat-Bulk, functional PBE.

Cell: 3.6428 3.6428 9.0335 Å, 78.37 78.37 60.00°
Last column: nearest neighbours and their distance in Å.
Fractional coordinates of all 4 atoms:
Pa 0.7241 0.7241 0.8278  3 Mn 2.59
Pa 0.2759 0.2759 0.1722  3 Mn 2.59
La 0.5000 0.5000 0.5000  6 Pa 3.57, 6 La 3.64
Mn 0.0000 0.0000 0.0000  6 Pa 2.59

## Properties
- Energy of formation: 0.7 eV per formula unit
- Space group: R-3m, No. 166
- Final energy: -8.098 eV per atom
- Spin magnetization: 0.00 μB/cell



[4]
An optimized crystal structure of LaPa2MnS8. Source: Alexandria via LeMat-Bulk, functional PBE.

Cell: 6.3498 6.1476 8.1038 Å, 90.00 90.00 85.53°
Last column: nearest neighbours and their distance in Å.
Fractional coordinates of all 12 atoms:
La 0.0000 0.0000 0.5000  6 S 2.86-2.94
S 0.3362 0.2885 0.9999  2 Pa 2.60, 1 Mn 2.88
S 0.6638 0.7115 0.0001  2 Pa 2.60, 1 Mn 2.88
S 0.8324 0.2134 0.2097  1 Mn 2.35
Mn 0.0000 0.0000 0.0000  4 S 2.35
S 0.8323 0.2134 0.7903  1 Mn 2.35
S 0.3418 0.2955 0.5000  2 Pa 2.68, 1 La 2.94
S 0.6582 0.7045 0.5000  2 Pa 2.68, 1 La 2.94
S 0.1677 0.7866 0.2097  1 Mn 2.35
Pa 0.5000 0.5001 0.7595  6 S 2.60-2.68
Pa 0.5000 0.4999 0.2405  6 S 2.60-2.68
S 0.1676 0.7866 0.7903  1 Mn 2.35

## Properties
- Raw formation energy: -31.48 kcal/mol of atoms
- Space group: P2/m, No. 10
- Final energy: -6.874 eV per atom
- Spin magnetization: 4.00 μB/cell



[5]
An optimized crystal structure of LaPaMn2S8. Source: Alexandria via LeMat-Bulk, functional PBE.

Cell: 6.3400 6.3400 8.0398 Å, 113.22 113.22 90.00°
Last column: nearest neighbours and their distance in Å.
Fractional coordinates of all 12 atoms:
S 0.7120 0.2693 0.8633  1 Mn 2.25
S 0.7307 0.8487 0.1367  1 Mn 2.25
S 0.4060 0.2880 0.1367  1 Mn 2.25
S 0.0591 0.9639 0.6603  1 Mn 2.19
S 0.1513 0.5940 0.8633  1 Mn 2.25
Mn 0.5000 0.5000 0.0000  4 S 2.25
Mn 0.2500 0.7500 0.5000  4 S 2.19
La 0.7500 0.2500 0.5000  8 S 2.94-2.98
S 0.0361 0.3989 0.3397  1 Mn 2.19
Pa 0.0000 0.0000 0.0000  8 S 2.71-2.82
S 0.6011 0.6963 0.6603  1 Mn 2.19
S 0.3037 0.9409 0.3397  1 Mn 2.19

## Properties
- Raw formation energy: -21.57 kcal/mol of atoms
- Space group: I-4, No. 82
- Final energy: -6.417 eV per atom
- Spin magnetization: 6.00 μB/cell



[6]
An optimized crystal structure of LaPaMn2Se8. Source: Alexandria via LeMat-Bulk, functional PBE.

Cell: 6.8094 6.8094 8.2968 Å, 114.23 114.23 90.00°
Last column: nearest neighbours and their distance in Å.
Fractional coordinates of all 12 atoms:
Se 0.0552 0.9767 0.6631  1 Mn 2.39
Se 0.0233 0.3921 0.3369  1 Mn 2.39
Mn 0.2500 0.7500 0.5000  4 Se 2.39
Se 0.6079 0.6864 0.6631  1 Mn 2.39
Se 0.3984 0.2955 0.1406  1 Mn 2.40
Se 0.1548 0.6016 0.8594  1 Mn 2.40
Se 0.7422 0.8452 0.1406  1 Mn 2.40
Se 0.7045 0.2578 0.8594  1 Mn 2.40
Mn 0.5000 0.5000 0.0000  4 Se 2.40
Se 0.3136 0.9448 0.3369  1 Mn 2.39
Pa 0.0000 0.0000 0.0000  8 Se 2.87-2.91
La 0.7500 0.2500 0.5000  8 Se 3.06-3.10

## Properties
- Raw formation energy: -18.58 kcal/mol of atoms
- Space group: I-4, No. 82
- Final energy: -5.859 eV per atom
- Spin magnetization: 5.98 μB/cell